# Pm4SmPd4

Crystalline Pm4SmPd4 at its relaxed geometry (PBE-GGA, Alexandria via LeMat-Bulk).

Output
**DFT formation energy**: -0.606 eV/atom
**M_tot**: 0.000 μB/atom
**Space-group type**: P4_2/n, No. 86
**ρ**: 7.8 g/cm³

a b c (Å): 5.9807 9.0943 9.0943
angles (deg): 90.00 90.00 90.00
Fractional positions:
Pm 0.4094 0.3140 0.9101
Pm 0.9094 0.5899 0.8140
Pm 0.4094 0.6860 0.0899
Pm 0.0906 0.1860 0.5899
Pm 0.5906 0.9101 0.6860
Pm 0.0906 0.8140 0.4101
Pm 0.9094 0.4101 0.1860
Pm 0.5906 0.0899 0.3140
Sm 0.0000 0.0000 0.0000
Sm 0.5000 0.5000 0.5000
Pd 0.5976 0.7815 0.3788
Pd 0.5976 0.2185 0.6212
Pd 0.0976 0.8788 0.7185
Pd 0.9024 0.2815 0.8788
Pd 0.9024 0.7185 0.1212
Pd 0.4024 0.3788 0.2185
Pd 0.4024 0.6212 0.7815
Pd 0.0976 0.1212 0.2815



# La2ErAgS5

Crystalline La2ErAgS5 at its relaxed geometry (PBE-GGA, Alexandria via LeMat-Bulk).

Output
**M_tot**: 0.000 μB/atom
**Space-group type**: Cmc2_1, No. 36
**ρ**: 5.7 g/cm³
**Energy relative to the elements, uncorrected**: -1786 meV/atom

a b c (Å): 4.0379 8.6356 12.1599
angles (deg): 90.00 90.00 103.52
Fractional positions:
La 0.8737 0.7474 0.8054
La 0.1102 0.2204 0.6844
La 0.1263 0.2526 0.3054
La 0.8898 0.7796 0.1844
Er 0.8039 0.6079 0.5069
Er 0.1961 0.3921 0.0069
Ag 0.5401 0.0803 0.9636
Ag 0.4599 0.9197 0.4636
S 0.3571 0.7142 0.0004
S 0.6940 0.3879 0.8514
S 0.4975 0.9951 0.7715
S 0.2873 0.5745 0.6614
S 0.9515 0.9030 0.5790
S 0.6429 0.2858 0.5004
S 0.3060 0.6121 0.3514
S 0.5025 0.0049 0.2715
S 0.7127 0.4255 0.1614
S 0.0485 0.0970 0.0790



# KFe2GeTe

Crystalline KFe2GeTe at its relaxed geometry (PBE-GGA, Alexandria via LeMat-Bulk).

Output
**M_tot**: 1.143 μB/atom
**Space-group type**: P4/mmm, No. 123
**ρ**: 4.3 g/cm³
**Energy relative to the elements, uncorrected**: 1975 meV/atom

a b c (Å): 4.7684 5.9596 4.7684
angles (deg): 90.00 90.00 90.00
Site moments in Bohr magnetons follow the coordinates.
Fractional positions:
K 0.0000 0.0000 0.0000  -0.02
Ge 0.5000 0.5000 0.5000  -0.06
Te 0.0000 0.5000 0.0000  0.07
Fe 0.0000 0.0000 0.5000  2.63
Fe 0.5000 0.0000 0.0000  3.07



# SrZnCoH6

Crystalline SrZnCoH6 at its relaxed geometry (PBE-GGA, Alexandria via LeMat-Bulk).

Output
**M_tot**: 0.000 μB/atom
**Electronic total energy**: -3.60 eV per atom
**Space-group type**: P-6m2, No. 187
**ρ**: 4.4 g/cm³

a b c (Å): 4.5370 4.5370 4.5704
angles (deg): 90.00 90.00 60.00
Fractional positions:
Sr 0.0000 0.0000 0.0000
Zn 0.6666 0.6667 0.5000
Co 0.3333 0.3333 0.5000
H 0.0383 0.4810 0.2629
H 0.4809 0.0383 0.7371
H 0.4807 0.4810 0.7371
H 0.0383 0.4808 0.7371
H 0.4809 0.4807 0.2629
H 0.4807 0.0383 0.2629



Question: What is the ρ in the first record?
Answer: 7.8 g/cm³